## 1
A plane-wave DFT calculation with GGA-PBE was carried out for a geometry-optimized CuBPb structure.

It has space group Pnma (No. 62), with a = 9.508 Å, b = 3.862 Å, c = 5.880 Å, α = 90.00°, β = 90.00° and γ = 90.00°. The distinct sites, in fractional coordinates, are Cu at (0.042, 0.250, 0.105), B at (0.072, 0.750, 0.201) and Pb at (0.159, 0.250, 0.543).

The total moment comes out at 0.000 μB per formula unit.

## 2
A plane-wave DFT calculation with GGA-PBE was carried out for a geometry-optimized CuBPb structure.

It has space group F-43m (No. 216), with a = 5.809 Å, b = 5.809 Å, c = 5.809 Å, α = 90.00°, β = 90.00° and γ = 90.00°. The distinct sites, in fractional coordinates, are Cu at (0.000, 0.000, 0.000), B at (0.250, 0.250, 0.750) and Pb at (0.000, 0.000, 0.500).

The total moment comes out at 0.000 μB per formula unit.

The structure with the greatest stability is 1.